Here is a geometry-optimized NaHfAl structure from the Alexandria database. Energies are from GGA-PBE.

ρ in kg/m³: 3699
N(E_F) in states/eV/atom: 2.335
DFT formation energy in eV per atom: 1.55
Total energy in eV/atom: -3.455
Energy above the lowest structure with this stoichiometry in meV/atom: 1571

a b c (Å): 4.677 4.677 10.827
angles (deg): 90.00 90.00 120.00
Element x y z (fractional)
Na (0.333, 0.667, 0.250)
Na (0.667, 0.333, 0.750)
Hf (0.000, 0.000, 0.000)
Hf (0.000, 0.000, 0.500)
Al (0.000, 0.000, 0.250)
Al (0.000, 0.000, 0.750)